--- P ---
Density functional theory data (PBE) for a relaxed HfPaV2 crystal.

Cell: 4.7000 4.7000 4.7000 Å, 60.00 60.00 60.00°
Last column: nearest neighbours and their distance in Å.
Positions (direct):
V (0.2500, 0.2500, 0.2500)  4 Hf 2.88, 4 Pa 2.88
V (0.7500, 0.7500, 0.7500)  4 Pa 2.88, 4 Hf 2.88
Hf (0.0000, 0.0000, 0.0000)  8 V 2.88
Pa (0.5000, 0.5000, 0.5000)  8 V 2.88

Output
Its calculated density is 11.57 g/cm3. Its symmetry is Fm-3m (225). Its magnetic moment is 0.000 μB/atom.



--- Q ---
Density functional theory data (PBE) for a relaxed HfPaV2 crystal.

Cell: 3.2036 3.2036 8.6681 Å, 79.35 79.35 60.00°
Last column: nearest neighbours and their distance in Å.
Positions (direct):
Hf (0.5000, 0.5000, 0.5000)  6 V 2.89, 6 Hf 3.20
Pa (0.0000, 0.0000, 0.0000)  6 V 2.73
V (0.2541, 0.2541, 0.2376)  3 Pa 2.73, 3 Hf 2.89
V (0.7459, 0.7459, 0.7624)  3 Pa 2.73, 3 Hf 2.89

Output
Its calculated density is 11.28 g/cm3. Its symmetry is R-3m (166). Its magnetic moment is 0.187 μB/atom.



Most stable to least stable, the ends of the list are P and Q.



--- P ---
Density functional theory data (PBE) for a relaxed HfPa2Zn crystal.

Cell: 4.8306 4.2588 4.2588 Å, 90.00 90.00 90.00°
Last column: nearest neighbours and their distance in Å.
Positions (direct):
Zn (0.5000, 0.0000, 0.0000)  4 Hf 3.01, 8 Pa 3.22
Pa (0.0000, 0.5000, 0.0000)  4 Pa 3.01, 4 Hf 3.22, 4 Zn 3.22
Pa (0.0000, 0.0000, 0.5000)  4 Pa 3.01, 4 Hf 3.22, 4 Zn 3.22
Hf (0.5000, 0.5000, 0.5000)  4 Zn 3.01, 8 Pa 3.22

Output
Its calculated density is 13.38 g/cm3. Its symmetry is P4/mmm (123). Its magnetic moment is 0.000 μB/atom.



--- Q ---
Density functional theory data (PBE) for a relaxed HfPa2Zn crystal.

Cell: 3.0990 3.0990 11.7303 Å, 82.41 82.41 60.00°
Last column: nearest neighbours and their distance in Å.
Positions (direct):
Hf (0.5000, 0.5000, 0.5000)  6 Hf 3.10, 6 Pa 3.27
Pa (0.9121, 0.9121, 0.2638)  1 Zn 3.06, 6 Pa 3.10, 3 Hf 3.27
Pa (0.0879, 0.0879, 0.7362)  1 Zn 3.06, 6 Pa 3.10, 3 Hf 3.27
Zn (0.0000, 0.0000, 0.0000)  2 Pa 3.06, 6 Zn 3.10

Output
Its calculated density is 12.16 g/cm3. Its symmetry is R-3m (166). Its magnetic moment is 0.000 μB/atom.



--- R ---
Density functional theory data (PBE) for a relaxed HfPa2Zn crystal.

Cell: 3.7842 3.7842 6.4592 Å, 90.00 90.00 90.00°
Last column: nearest neighbours and their distance in Å.
Positions (direct):
Zn (0.5000, 0.5000, 0.0000)  8 Pa 3.03, 2 Hf 3.23
Pa (0.0000, 0.0000, 0.7797)  1 Pa 2.85, 4 Zn 3.03
Pa (0.0000, 0.0000, 0.2203)  1 Pa 2.85, 4 Zn 3.03
Hf (0.5000, 0.5000, 0.5000)  8 Pa 3.23, 2 Zn 3.23

Output
Its calculated density is 12.67 g/cm3. Its symmetry is P4/mmm (123). Its magnetic moment is 0.000 μB/atom.



Most stable to least stable, the ends of the list are P and Q.



--- P ---
Density functional theory data (PBE) for a relaxed HfPaZn2 crystal.

Cell: 3.0541 3.0541 8.2916 Å, 90.00 90.00 90.00°
Last column: nearest neighbours and their distance in Å.
Positions (direct):
Zn (0.0000, 0.0000, 0.2319)  4 Hf 2.89, 4 Zn 3.05, 4 Pa 3.10
Zn (0.0000, 0.0000, 0.7681)  4 Hf 2.89, 4 Zn 3.05, 4 Pa 3.10
Hf (0.5000, 0.5000, 0.0000)  8 Zn 2.89, 4 Hf 3.05
Pa (0.5000, 0.5000, 0.5000)  4 Pa 3.05, 8 Zn 3.10

Output
Its calculated density is 11.60 g/cm3. Its symmetry is P4/mmm (123). Its magnetic moment is 0.039 μB/atom.



--- Q ---
Density functional theory data (PBE) for a relaxed HfPaZn2 crystal.

Cell: 4.3554 4.2817 4.2817 Å, 90.00 90.00 90.00°
Last column: nearest neighbours and their distance in Å.
Positions (direct):
Zn (0.0000, 0.0000, 0.5000)  4 Zn 3.03, 4 Hf 3.05, 4 Pa 3.05
Zn (0.0000, 0.5000, 0.0000)  4 Zn 3.03, 4 Hf 3.05, 4 Pa 3.05
Pa (0.5000, 0.5000, 0.5000)  4 Hf 3.03, 8 Zn 3.05
Hf (0.5000, 0.0000, 0.0000)  4 Pa 3.03, 8 Zn 3.05

Output
Its calculated density is 11.24 g/cm3. Its symmetry is P4/mmm (123). Its magnetic moment is 0.000 μB/atom.



Most stable to least stable, the ends of the list are P and Q.



--- P ---
Density functional theory data (PBE) for a relaxed Hf2PaZn crystal.

Cell: 3.1781 3.1781 10.0395 Å, 80.90 80.90 59.99°
Last column: nearest neighbours and their distance in Å.
Positions (direct):
Hf (0.2569, 0.2569, 0.2300)  3 Zn 2.92, 6 Hf 3.18, 3 Pa 3.24
Hf (0.0766, 0.0766, 0.7695)  3 Zn 2.92, 6 Hf 3.18, 3 Pa 3.23
Zn (0.6667, 0.6667, 0.0000)  6 Hf 2.92, 6 Zn 3.18
Pa (0.4998, 0.4998, 0.5006)  6 Pa 3.18, 6 Hf 3.23-3.24

Output
Its calculated density is 12.57 g/cm3. Its symmetry is R3m (160). Its magnetic moment is 0.000 μB/atom.



--- Q ---
Density functional theory data (PBE) for a relaxed Hf2PaZn crystal.

Cell: 3.1557 3.1557 8.5630 Å, 90.00 90.00 90.00°
Last column: nearest neighbours and their distance in Å.
Positions (direct):
Hf (0.0000, 0.0000, 0.7822)  4 Zn 2.91, 4 Hf 3.16
Hf (0.0000, 0.0000, 0.2178)  4 Zn 2.91, 4 Hf 3.16
Pa (0.5000, 0.5000, 0.5000)  4 Pa 3.16, 8 Hf 3.29
Zn (0.5000, 0.5000, 0.0000)  8 Hf 2.91, 4 Zn 3.16

Output
Its calculated density is 12.72 g/cm3. Its symmetry is P4/mmm (123). Its magnetic moment is 0.000 μB/atom.



--- R ---
Density functional theory data (PBE) for a relaxed Hf2PaZn crystal.

Cell: 4.1332 4.5200 4.5200 Å, 90.00 90.00 90.00°
Last column: nearest neighbours and their distance in Å.
Positions (direct):
Hf (0.0000, 0.0000, 0.5000)  4 Pa 3.06, 4 Zn 3.06, 4 Hf 3.20
Hf (0.0000, 0.5000, 0.0000)  4 Zn 3.06, 4 Pa 3.06, 4 Hf 3.20
Pa (0.5000, 0.5000, 0.5000)  8 Hf 3.06, 4 Zn 3.20
Zn (0.5000, 0.0000, 0.0000)  8 Hf 3.06, 4 Pa 3.20

Output
Its calculated density is 12.85 g/cm3. Its symmetry is P4/mmm (123). Its magnetic moment is 0.000 μB/atom.



--- S ---
Density functional theory data (PBE) for a relaxed Hf2PaZn crystal.

Cell: 3.0694 3.0694 10.7908 Å, 81.82 81.82 60.00°
Last column: nearest neighbours and their distance in Å.
Positions (direct):
Pa (0.0000, 0.0000, 0.0000)  2 Hf 3.01, 6 Pa 3.07
Hf (0.0943, 0.0943, 0.7171)  3 Zn 2.91, 1 Pa 3.01, 6 Hf 3.07
Hf (0.9057, 0.9057, 0.2829)  3 Zn 2.91, 1 Pa 3.01, 6 Hf 3.07
Zn (0.5000, 0.5000, 0.5000)  6 Hf 2.91, 6 Zn 3.07

Output
Its calculated density is 12.49 g/cm3. Its symmetry is R-3m (166). Its magnetic moment is 0.000 μB/atom.



Most stable to least stable, the ends of the list are Q and S.